Record 1
First-principles (PBE-GGA) data for a geometry-optimized ScVIrRh structure, as listed in Alexandria via LeMat-Bulk.

abc: 6.287 6.287 6.287
angles: 90.00 90.00 90.00
Space group F-43m (No. 216)
Unique sites:
Sc  0.000  0.000  0.000
V  0.000  0.000  0.500
Ir  0.250  0.250  0.250
Rh  0.250  0.250  0.750

Calculated values
- E_form (kJ/mol of formula units) = -213
- V (Å³ per cell) = 248.5
- calculated total energy (eV per atom) = -8.469



Record 2
First-principles (PBE-GGA) data for a geometry-optimized IrRhSe2 structure, as listed in Alexandria via LeMat-Bulk.

abc: 6.237 7.996 2.807
angles: 90.00 90.13 90.00
Space group C2/m (No. 12)
Unique sites:
Ir  0.000  0.000  0.000
Rh  0.000  0.500  0.000
Se  0.250  0.250  0.000

Calculated values
- V (Å³ per cell) = 140.0
- formation energy from raw total energies (eV/atom) = 0.30
- calculated total energy (eV per atom) = -5.499



In the order shown, the computed total magnetization values come out to 0.450, 0.000 μB/atom.